Below is a geometry-optimized BaNaSr2Cd structure, with properties calculated at the PBE level.

Calculated values
Energy above the lowest structure with this stoichiometry ... 587 meV/atom
Size of the total moment ... 0.2405 μB per atom
Volume ... 309.7 Å³/f.u.
Final energy ... -4.6 eV/f.u.

```
data_BaNaSr2Cd
_chemical_formula_sum 'Ba1 Na1 Sr2 Cd1'
_cell_length_a 7.084
_cell_length_b 7.084
_cell_length_c 6.170
_cell_angle_alpha 90.00
_cell_angle_beta 90.00
_cell_angle_gamma 90.00
_space_group_name_H-M_alt 'P 4/m m m'
_space_group_IT_number 123
_space_group_name_Hall '-P 4 2'
loop_
_atom_site_label
_atom_site_fract_x
_atom_site_fract_y
_atom_site_fract_z
Ba1 0.000 0.000 0.000
Na1 0.500 0.500 0.500
Sr1 0.000 0.500 0.000
Cd1 0.000 0.000 0.500
```

Below is a geometry-optimized BaNa2TiCd structure, with properties calculated at the PBE level.

Calculated values
Size of the total moment ... 0.0000 μB per atom
Volume ... 188.3 Å³/f.u.
Final energy ... -7.1 eV/f.u.

```
data_BaNa2TiCd
_chemical_formula_sum 'Ba1 Na2 Ti1 Cd1'
_cell_length_a 5.997
_cell_length_b 5.997
_cell_length_c 5.236
_cell_angle_alpha 90.00
_cell_angle_beta 90.00
_cell_angle_gamma 90.00
_space_group_name_H-M_alt 'P 4/m m m'
_space_group_IT_number 123
_space_group_name_Hall '-P 4 2'
loop_
_atom_site_label
_atom_site_fract_x
_atom_site_fract_y
_atom_site_fract_z
Ba1 0.000 0.000 0.000
Na1 0.000 0.500 0.000
Ti1 0.000 0.000 0.500
Cd1 0.500 0.500 0.500
```

Below is a geometry-optimized Ba3Na2Tl4Cd2 structure, with properties calculated at the PBE level.

Calculated values
Size of the total moment ... 0.0000 μB per atom
Volume ... 400.3 Å³/f.u.
Final energy ... -22.1 eV/f.u.

```
data_Ba3Na2Tl4Cd2
_chemical_formula_sum 'Ba3 Na2 Tl4 Cd2'
_cell_length_a 5.4312
_cell_length_b 5.4312
_cell_length_c 15.6688
_cell_angle_alpha 90.00
_cell_angle_beta 90.00
_cell_angle_gamma 120.00
_space_group_name_H-M_alt 'P -3 m 1'
_space_group_IT_number 164
_space_group_name_Hall '-P 3 2"'
loop_
_atom_site_label
_atom_site_fract_x
_atom_site_fract_y
_atom_site_fract_z
Ba1 0.0000 0.0000 0.0000
Ba2 0.0000 0.0000 0.2621
Na1 0.3333 0.6667 0.5640
Tl1 0.3333 0.6667 0.3568
Tl2 0.3333 0.6667 0.8693
Cd1 0.3333 0.6667 0.1434
```

Below is a geometry-optimized BaNa2Tl2Cd2 structure, with properties calculated at the PBE level.

Calculated values
Size of the total moment ... 0.0000 μB per atom
Volume ... 215.6 Å³/f.u.
Final energy ... -12.5 eV/f.u.

```
data_BaNa2Tl2Cd2
_chemical_formula_sum 'Ba3 Na6 Tl6 Cd6'
_cell_length_a 5.3206
_cell_length_b 5.3206
_cell_length_c 26.3822
_cell_angle_alpha 90.00
_cell_angle_beta 90.00
_cell_angle_gamma 120.00
_space_group_name_H-M_alt 'R -3 m'
_space_group_IT_number 166
_space_group_name_Hall '-R 3 2"'
loop_
_atom_site_label
_atom_site_fract_x
_atom_site_fract_y
_atom_site_fract_z
Ba1 0.0000 0.0000 0.0000
Na1 0.0000 0.0000 0.1386
Tl1 0.0000 0.0000 0.4123
Cd1 0.0000 0.0000 0.2602
```

Below is a geometry-optimized BaNaTl2Cd structure, with properties calculated at the PBE level.

Calculated values
Energy above the lowest structure with this stoichiometry ... 0 meV/atom
Size of the total moment ... 0.0000 μB per atom
Volume ... 166.3 Å³/f.u.
Final energy ... -10.0 eV/f.u.

```
data_BaNaTl2Cd
_chemical_formula_sum 'Ba2 Na2 Tl4 Cd2'
_cell_length_a 4.947
_cell_length_b 4.947
_cell_length_c 13.589
_cell_angle_alpha 90.00
_cell_angle_beta 90.00
_cell_angle_gamma 90.00
_space_group_name_H-M_alt 'I -4 m 2'
_space_group_IT_number 119
_space_group_name_Hall 'I -4 -2'
loop_
_atom_site_label
_atom_site_fract_x
_atom_site_fract_y
_atom_site_fract_z
Ba1 0.000 0.000 0.000
Na1 0.000 0.500 0.250
Tl1 0.000 0.000 0.387
Cd1 0.000 0.500 0.750
```

Below is a geometry-optimized Ba4NaTl2Cd structure, with properties calculated at the PBE level.

Calculated values
Size of the total moment ... 0.0000 μB per atom
Volume ... 325.1 Å³/f.u.
Final energy ... -17.0 eV/f.u.

```
data_Ba4NaTl2Cd
_chemical_formula_sum 'Ba12 Na3 Tl6 Cd3'
_cell_length_a 6.1192
_cell_length_b 6.1192
_cell_length_c 30.0727
_cell_angle_alpha 90.00
_cell_angle_beta 90.00
_cell_angle_gamma 120.00
_space_group_name_H-M_alt 'R -3 m'
_space_group_IT_number 166
_space_group_name_Hall '-R 3 2"'
loop_
_atom_site_label
_atom_site_fract_x
_atom_site_fract_y
_atom_site_fract_z
Ba1 0.0000 0.0000 0.1198
Ba2 0.0000 0.0000 0.3700
Na1 0.0000 0.0000 0.5000
Tl1 0.0000 0.0000 0.2457
Cd1 0.0000 0.0000 0.0000
```

Below is a geometry-optimized BaNa2Tl4Cd structure, with properties calculated at the PBE level.

Calculated values
Size of the total moment ... 0.0000 μB per atom
Volume ... 250.4 Å³/f.u.
Final energy ... -16.2 eV/f.u.

```
data_BaNa2Tl4Cd
_chemical_formula_sum 'Ba3 Na6 Tl12 Cd3'
_cell_length_a 5.2933
_cell_length_b 5.2933
_cell_length_c 30.9524
_cell_angle_alpha 90.00
_cell_angle_beta 90.00
_cell_angle_gamma 120.00
_space_group_name_H-M_alt 'R -3 m'
_space_group_IT_number 166
_space_group_name_Hall '-R 3 2"'
loop_
_atom_site_label
_atom_site_fract_x
_atom_site_fract_y
_atom_site_fract_z
Ba1 0.0000 0.0000 0.0000
Na1 0.0000 0.0000 0.2337
Tl1 0.0000 0.0000 0.1242
Tl2 0.0000 0.0000 0.3977
Cd1 0.0000 0.0000 0.5000
```

Below is a geometry-optimized BaNaTl4Cd2 structure, with properties calculated at the PBE level.

Calculated values
Size of the total moment ... 0.0000 μB per atom
Volume ... 237.3 Å³/f.u.
Final energy ... -15.8 eV/f.u.

```
data_BaNaTl4Cd2
_chemical_formula_sum 'Ba3 Na3 Tl12 Cd6'
_cell_length_a 5.3643
_cell_length_b 5.3643
_cell_length_c 28.5615
_cell_angle_alpha 90.00
_cell_angle_beta 90.00
_cell_angle_gamma 120.00
_space_group_name_H-M_alt 'R -3 m'
_space_group_IT_number 166
_space_group_name_Hall '-R 3 2"'
loop_
_atom_site_label
_atom_site_fract_x
_atom_site_fract_y
_atom_site_fract_z
Ba1 0.0000 0.0000 0.0000
Na1 0.0000 0.0000 0.5000
Tl1 0.0000 0.0000 0.1294
Tl2 0.0000 0.0000 0.3886
Cd1 0.0000 0.0000 0.2494
```

Below is a geometry-optimized BaNaTl6Cd structure, with properties calculated at the PBE level.

Calculated values
Size of the total moment ... 0.0000 μB per atom
Volume ... 328.7 Å³/f.u.
Final energy ... -18.4 eV/f.u.

```
data_BaNaTl6Cd
_chemical_formula_sum 'Ba4 Na4 Tl24 Cd4'
_cell_length_a 6.344
_cell_length_b 11.275
_cell_length_c 18.380
_cell_angle_alpha 90.00
_cell_angle_beta 90.00
_cell_angle_gamma 90.00
_space_group_name_H-M_alt 'I m m a'
_space_group_IT_number 74
_space_group_name_Hall '-I 2b 2'
loop_
_atom_site_label
_atom_site_fract_x
_atom_site_fract_y
_atom_site_fract_z
Ba1 0.000 0.250 0.089
Na1 0.000 0.000 0.500
Tl1 0.000 0.250 0.292
Tl2 0.000 0.250 0.902
Tl3 0.249 0.012 0.662
Cd1 0.250 0.250 0.750
```

Below is a geometry-optimized BaNaTl2Cd structure, with properties calculated at the PBE level.

Calculated values
Energy above the lowest structure with this stoichiometry ... 659 meV/atom
Size of the total moment ... 0.0000 μB per atom
Volume ... 274.2 Å³/f.u.
Final energy ... -6.7 eV/f.u.

```
data_BaNaTl2Cd
_chemical_formula_sum 'Ba1 Na1 Tl2 Cd1'
_cell_length_a 6.504
_cell_length_b 6.504
_cell_length_c 6.481
_cell_angle_alpha 90.00
_cell_angle_beta 90.00
_cell_angle_gamma 90.00
_space_group_name_H-M_alt 'P 4/m m m'
_space_group_IT_number 123
_space_group_name_Hall '-P 4 2'
loop_
_atom_site_label
_atom_site_fract_x
_atom_site_fract_y
_atom_site_fract_z
Ba1 0.000 0.000 0.000
Na1 0.500 0.500 0.500
Tl1 0.000 0.500 0.000
Cd1 0.000 0.000 0.500
```

Below is a geometry-optimized BaNaTl2Cd4 structure, with properties calculated at the PBE level.

Calculated values
Size of the total moment ... 0.0000 μB per atom
Volume ... 228.9 Å³/f.u.
Final energy ... -12.8 eV/f.u.

```
data_BaNaTl2Cd4
_chemical_formula_sum 'Ba3 Na3 Tl6 Cd12'
_cell_length_a 5.2869
_cell_length_b 5.2869
_cell_length_c 28.3687
_cell_angle_alpha 90.00
_cell_angle_beta 90.00
_cell_angle_gamma 120.00
_space_group_name_H-M_alt 'R -3 m'
_space_group_IT_number 166
_space_group_name_Hall '-R 3 2"'
loop_
_atom_site_label
_atom_site_fract_x
_atom_site_fract_y
_atom_site_fract_z
Ba1 0.0000 0.0000 0.0000
Na1 0.0000 0.0000 0.5000
Tl1 0.0000 0.0000 0.2467
Cd1 0.0000 0.0000 0.1322
Cd2 0.0000 0.0000 0.3923
```

Below is a geometry-optimized BaNaTl2Cd2 structure, with properties calculated at the PBE level.

Calculated values
Size of the total moment ... 0.0000 μB per atom
Volume ... 186.5 Å³/f.u.
Final energy ... -11.2 eV/f.u.

```
data_BaNaTl2Cd2
_chemical_formula_sum 'Ba1 Na1 Tl2 Cd2'
_cell_length_a 5.1528
_cell_length_b 5.1528
_cell_length_c 8.1091
_cell_angle_alpha 90.00
_cell_angle_beta 90.00
_cell_angle_gamma 120.00
_space_group_name_H-M_alt 'P -3 m 1'
_space_group_IT_number 164
_space_group_name_Hall '-P 3 2"'
loop_
_atom_site_label
_atom_site_fract_x
_atom_site_fract_y
_atom_site_fract_z
Ba1 0.0000 0.0000 0.0000
Na1 0.0000 0.0000 0.5000
Tl1 0.3333 0.6667 0.7136
Cd1 0.3333 0.6667 0.3061
```

Which of these has the lowest final energy? Ba3Na2Tl4Cd2

Which formula does entry 6 have? Ba4NaTl2Cd